First-principles (PBE) data for a geometry-optimized Ag8O6F structure, as listed in Alexandria via LeMat-Bulk.

Cell: 6.570 6.570 6.570 Å, 107.47 107.47 107.47°
Sites, in units of the cell vectors:
Ag (0.693, 0.693, 0.693)
Ag (0.307, 0.307, 0.307)
Ag (0.714, 0.886, 0.344)
Ag (0.886, 0.344, 0.714)
Ag (0.344, 0.714, 0.886)
Ag (0.286, 0.114, 0.656)
Ag (0.114, 0.656, 0.286)
Ag (0.656, 0.286, 0.114)
O (0.675, 0.433, 0.873)
O (0.433, 0.873, 0.675)
O (0.873, 0.675, 0.433)
O (0.325, 0.567, 0.127)
O (0.567, 0.127, 0.325)
O (0.127, 0.325, 0.567)
F (0.000, 0.000, 0.000)

Summary:
- calculated volume (A^3/atom) = 15.541
- crystal system = trigonal
- total energy (eV per atom) = -3.634
- magnetic moment (μB per atom) = 0.000

---

First-principles (PBE) data for a geometry-optimized Na10B17C3 structure, as listed in Alexandria via LeMat-Bulk.

Cell: 9.189 9.189 13.770 Å, 111.74 111.74 17.70°
Sites, in units of the cell vectors:
Na (0.000, 0.000, 0.999)
Na (0.199, 0.199, 0.900)
Na (0.200, 0.200, 0.399)
Na (0.401, 0.401, 0.300)
Na (0.400, 0.400, 0.801)
Na (0.599, 0.599, 0.700)
Na (0.599, 0.599, 0.200)
Na (0.801, 0.801, 0.101)
Na (0.800, 0.800, 0.601)
Na (0.000, 0.000, 0.499)
B (0.629, 0.629, 0.008)
B (0.773, 0.773, 0.795)
B (0.838, 0.838, 0.927)
B (0.565, 0.565, 0.881)
B (0.835, 0.835, 0.419)
B (0.969, 0.969, 0.188)
B (0.035, 0.035, 0.320)
B (0.772, 0.772, 0.294)
B (0.027, 0.027, 0.805)
B (0.167, 0.167, 0.585)
B (0.230, 0.230, 0.710)
B (0.962, 0.962, 0.674)
B (0.231, 0.231, 0.213)
B (0.429, 0.429, 0.108)
B (0.169, 0.169, 0.088)
B (0.624, 0.624, 0.499)
B (0.375, 0.375, 0.498)
C (0.369, 0.369, 0.989)
C (0.433, 0.433, 0.615)
C (0.566, 0.566, 0.383)

Summary:
- offset from the most stable computed form (kJ/mol of formula units) = 28.6
- calculated volume (A^3/atom) = 10.923
- crystal system = monoclinic
- magnetic moment (μB per atom) = 0.000
- formation energy from the elements (eV per atom) = 0.215

---

First-principles (PBE) data for a geometry-optimized MgCd7Au4 structure, as listed in Alexandria via LeMat-Bulk.

Cell: 5.092 8.640 6.904 Å, 80.66 68.36 72.86°
Sites, in units of the cell vectors:
Mg (0.000, 0.000, 0.000)
Cd (0.786, 0.877, 0.551)
Cd (0.214, 0.123, 0.449)
Cd (0.070, 0.650, 0.210)
Cd (0.930, 0.350, 0.790)
Cd (0.346, 0.583, 0.724)
Cd (0.500, 0.000, 0.000)
Cd (0.654, 0.417, 0.276)
Au (0.572, 0.217, 0.639)
Au (0.428, 0.783, 0.361)
Au (0.704, 0.668, 0.924)
Au (0.296, 0.332, 0.076)

Summary:
- calculated volume (A^3/atom) = 22.442
- crystal system = monoclinic
- magnetic moment (μB per atom) = 0.000
- formation energy from the elements (eV per atom) = -0.049

---

First-principles (PBE) data for a geometry-optimized Sr4BeSb4 structure, as listed in Alexandria via LeMat-Bulk.

Cell: 6.808 9.449 9.449 Å, 90.00 90.00 90.00°
Sites, in units of the cell vectors:
Sr (0.304, 0.263, 0.000)
Sr (0.804, 0.500, 0.763)
Sr (0.304, 0.737, 0.000)
Sr (0.196, 0.237, 0.500)
Sr (0.696, 0.000, 0.737)
Sr (0.196, 0.763, 0.500)
Sr (0.804, 0.500, 0.237)
Sr (0.696, 0.000, 0.263)
Be (0.000, 0.000, 0.000)
Be (0.500, 0.500, 0.500)
Sb (0.696, 0.729, 0.500)
Sb (0.696, 0.271, 0.500)
Sb (0.196, 0.000, 0.771)
Sb (0.804, 0.229, 0.000)
Sb (0.804, 0.771, 0.000)
Sb (0.304, 0.500, 0.271)
Sb (0.304, 0.500, 0.729)
Sb (0.196, 0.000, 0.229)

Summary:
- calculated volume (A^3/atom) = 33.768
- crystal system = tetragonal
- total energy (eV per atom) = -3.769
- magnetic moment (μB per atom) = 0.000

---

First-principles (PBE) data for a geometry-optimized Hf2FeNiPt structure, as listed in Alexandria via LeMat-Bulk.

Cell: 4.982 4.624 4.982 Å, 90.00 90.00 90.00°
Last column: magnetic moment on the atom in μB.
Sites, in units of the cell vectors:
Ni (0.500, 0.500, 0.500)  0.34
Hf (0.000, 0.000, 0.500)  -0.18
Hf (0.500, 0.000, 0.000)  -0.30
Fe (0.000, 0.500, 0.000)  2.94
Pt (0.000, 0.000, 0.000)  0.07

Summary:
- calculated volume (A^3/atom) = 22.956
- crystal system = tetragonal
- magnetic moment (μB per atom) = 0.511
- formation energy from the elements (eV per atom) = 0.756

---

First-principles (PBE) data for a geometry-optimized NbPt6Rh2 structure, as listed in Alexandria via LeMat-Bulk.

Cell: 3.942 8.400 8.400 Å, 90.00 90.00 90.00°
Sites, in units of the cell vectors:
Nb (0.500, 0.500, 0.000)
Nb (0.000, 0.000, 0.500)
Pt (0.000, 0.000, 0.170)
Pt (0.000, 0.670, 0.500)
Pt (0.000, 0.663, 0.837)
Pt (0.500, 0.163, 0.663)
Pt (0.500, 0.170, 0.000)
Pt (0.500, 0.500, 0.330)
Pt (0.000, 0.000, 0.830)
Pt (0.000, 0.330, 0.500)
Pt (0.000, 0.337, 0.163)
Pt (0.500, 0.837, 0.337)
Pt (0.500, 0.830, 0.000)
Pt (0.500, 0.500, 0.670)
Rh (0.000, 0.339, 0.839)
Rh (0.500, 0.839, 0.661)
Rh (0.500, 0.161, 0.339)
Rh (0.000, 0.661, 0.161)

Summary:
- offset from the most stable computed form (kJ/mol of formula units) = 0.0
- calculated volume (A^3/atom) = 15.453
- crystal system = tetragonal
- magnetic moment (μB per atom) = 0.000
- formation energy from the elements (eV per atom) = -0.377

---

First-principles (PBE) data for a geometry-optimized YB2O structure, as listed in Alexandria via LeMat-Bulk.

Cell: 5.656 5.656 5.078 Å, 56.16 56.16 90.00°
Sites, in units of the cell vectors:
Y (0.000, 0.000, 0.000)
Y (0.750, 0.250, 0.500)
B (0.504, 0.125, 0.250)
B (0.246, 0.625, 0.250)
B (0.375, 0.496, 0.750)
B (0.875, 0.754, 0.750)
O (0.500, 0.500, 0.000)
O (0.250, 0.750, 0.500)

Summary:
- calculated volume (A^3/atom) = 12.511
- crystal system = tetragonal
- total energy (eV per atom) = -5.780
- magnetic moment (μB per atom) = 0.000

---

First-principles (PBE) data for a geometry-optimized Sr2ZnPt structure, as listed in Alexandria via LeMat-Bulk.

Cell: 3.661 3.661 8.691 Å, 90.00 90.00 89.98°
Sites, in units of the cell vectors:
Pt (0.500, 0.500, 0.684)
Sr (0.000, 0.000, 0.913)
Sr (0.500, 0.500, 0.333)
Zn (0.000, 0.000, 0.570)

Summary:
- calculated volume (A^3/atom) = 29.125
- crystal system = tetragonal
- magnetic moment (μB per atom) = 0.000
- formation energy from the elements (eV per atom) = -0.361